CaEr2ZnHg4: optimized geometry, PBE.

Cell: 5.1127 5.1127 8.9652 Å, 73.43 73.43 60.00°
With the nearest neighbours (Å) after each atom.
Positions (direct):
Ca1 0.0000 0.0000 0.0000  8 Hg 3.13-3.14
Er1 0.7563 0.7563 0.7310  8 Hg 3.04-3.33
Er2 0.2437 0.2437 0.2690  8 Hg 3.04-3.33
Zn1 0.5000 0.5000 0.5000  8 Hg 3.15-3.18
Hg1 0.3747 0.3747 0.8759  3 Ca 3.13, 1 Zn 3.18, 4 Er 3.20-3.33
Hg2 0.8762 0.8762 0.3715  4 Er 3.04-3.08, 1 Ca 3.14, 3 Zn 3.15
Hg3 0.1238 0.1238 0.6285  4 Er 3.04-3.08, 1 Ca 3.14, 3 Zn 3.15
Hg4 0.6253 0.6253 0.1241  3 Ca 3.13, 1 Zn 3.18, 4 Er 3.20-3.33

Computed properties:
DFT total energy	-16.65	eV per cell
formation energy	-380	meV/atom

***

CaErZnHg: optimized geometry, PBE.

Cell: 5.1861 5.1861 5.1861 Å, 60.00 60.00 60.00°
With the nearest neighbours (Å) after each atom.
Positions (direct):
Zn1 0.0000 0.0000 0.0000  4 Er 3.18, 4 Ca 3.18
Ca1 0.2500 0.2500 0.2500  4 Hg 3.18, 4 Zn 3.18
Hg1 0.5000 0.5000 0.5000  4 Ca 3.18, 4 Er 3.18
Er1 0.7500 0.7500 0.7500  4 Hg 3.18, 4 Zn 3.18

Computed properties:
DFT total energy	-9.72	eV per cell
formation energy	-395	meV/atom
energy above the most stable polymorph in this dataset	0.067	eV per formula unit

***

CaHoEr2: optimized geometry, PBE.

Cell: 3.5605 3.5605 12.1220 Å, 81.55 81.55 60.00°
With the nearest neighbours (Å) after each atom.
Positions (direct):
Ca1 0.5006 0.5006 0.4982  6 Ca 3.56, 6 Er 3.76-3.80
Ho1 0.6663 0.6663 0.0012  6 Er 3.46-3.48, 6 Ho 3.56
Er1 0.0780 0.0780 0.7659  3 Ho 3.48, 6 Er 3.56, 3 Ca 3.80
Er2 0.2551 0.2551 0.2347  3 Ho 3.46, 6 Er 3.56, 3 Ca 3.76

Computed properties:
DFT total energy	-15.43	eV per cell
formation energy	70	meV/atom
energy above the most stable polymorph in this dataset	0.000	eV per formula unit

***

Ca3Ho12Er5: optimized geometry, PBE.

Cell: 16.5035 16.5035 16.5035 Å, 109.47 109.47 109.47°
With the nearest neighbours (Å) after each atom.
Positions (direct):
Ca1 0.7500 0.3750 0.1250  8 Ho 3.29-3.53
Ca2 0.8750 0.7500 0.1250  8 Ho 3.29-3.53
Ca3 0.3750 0.7500 0.6250  8 Ho 3.29-3.53
Ca4 0.2500 0.1250 0.3750  8 Ho 3.29-3.53
Ca5 0.8750 0.1250 0.2500  8 Ho 3.29-3.53
Ca6 0.3750 0.6250 0.2500  8 Ho 3.29-3.53
Ca7 0.6250 0.3750 0.7500  8 Ho 3.29-3.53
Ca8 0.1250 0.8750 0.7500  8 Ho 3.29-3.53
Ca9 0.7500 0.8750 0.6250  8 Ho 3.29-3.53
Ca10 0.6250 0.2500 0.3750  8 Ho 3.29-3.53
Ca11 0.1250 0.2500 0.8750  8 Ho 3.29-3.53
Ca12 0.2500 0.6250 0.8750  8 Ho 3.29-3.53
Er1 0.1250 0.3750 0.2500  4 Ho 3.38
Er2 0.0000 0.5000 0.0000  6 Ho 3.14
Er3 0.0000 0.0000 0.0000  6 Ho 3.14
Er4 0.3750 0.2500 0.1250  4 Ho 3.38
Er5 0.5000 0.0000 0.5000  6 Ho 3.14
Er6 0.5000 0.5000 0.0000  6 Ho 3.14
Er7 0.1250 0.7500 0.3750  4 Ho 3.38
Er8 0.7500 0.1250 0.8750  4 Ho 3.38
Er9 0.7500 0.6250 0.3750  4 Ho 3.38
Er10 0.3750 0.1250 0.7500  4 Ho 3.38
Er11 0.6250 0.8750 0.2500  4 Ho 3.38
Er12 0.5000 0.5000 0.5000  6 Ho 3.14
Er13 0.5000 0.0000 0.0000  6 Ho 3.14
Er14 0.0000 0.0000 0.5000  6 Ho 3.14
Er15 0.2500 0.3750 0.6250  4 Ho 3.38
Er16 0.2500 0.8750 0.1250  4 Ho 3.38
Er17 0.0000 0.5000 0.5000  6 Ho 3.14
Er18 0.8750 0.2500 0.6250  4 Ho 3.38
Er19 0.6250 0.7500 0.8750  4 Ho 3.38
Er20 0.8750 0.6250 0.7500  4 Ho 3.38
Ho1 0.7230 0.1389 0.0729  2 Er 3.14-3.38, 1 Ca 3.29, 1 Ho 3.48
Ho2 0.3499 0.5729 0.4339  2 Er 3.14-3.38, 1 Ca 3.29, 1 Ho 3.48
Ho3 0.9271 0.3611 0.2770  2 Er 3.14-3.38, 1 Ca 3.29, 1 Ho 3.48
Ho4 0.5729 0.2230 0.1389  2 Er 3.14-3.38, 1 Ca 3.29, 1 Ho 3.48
Ho5 0.5840 0.7230 0.6501  2 Er 3.14-3.38, 1 Ca 3.29, 1 Ho 3.48
Ho6 0.9271 0.5661 0.1501  2 Er 3.14-3.38, 1 Ca 3.29, 1 Ho 3.48
Ho7 0.3499 0.7770 0.4160  2 Er 3.14-3.38, 1 Ca 3.29, 1 Ho 3.48
Ho8 0.0661 0.9160 0.1389  2 Er 3.14-3.38, 1 Ca 3.29, 1 Ho 3.48
Ho9 0.5661 0.9271 0.6501  2 Er 3.14-3.38, 1 Ca 3.29, 1 Ho 3.48
Ho10 0.7230 0.5840 0.1501  2 Er 3.14-3.38, 1 Ca 3.29, 1 Ho 3.48
Ho11 0.7770 0.4271 0.3611  2 Er 3.14-3.38, 1 Ca 3.29, 1 Ho 3.48
Ho12 0.8499 0.9339 0.0729  2 Er 3.14-3.38, 1 Ca 3.29, 1 Ho 3.48
Ho13 0.1389 0.7230 0.5729  2 Er 3.14-3.38, 1 Ca 3.29, 1 Ho 3.48
Ho14 0.3611 0.4339 0.0840  2 Er 3.14-3.38, 1 Ca 3.29, 1 Ho 3.48
Ho15 0.0840 0.9339 0.3611  2 Er 3.14-3.38, 1 Ca 3.29, 1 Ho 3.48
Ho16 0.4160 0.1389 0.5661  2 Er 3.14-3.38, 1 Ca 3.29, 1 Ho 3.48
Ho17 0.0840 0.1501 0.2230  2 Er 3.14-3.38, 1 Ca 3.29, 1 Ho 3.48
Ho18 0.4271 0.6501 0.0661  2 Er 3.14-3.38, 1 Ca 3.29, 1 Ho 3.48
Ho19 0.8499 0.9160 0.2770  2 Er 3.14-3.38, 1 Ca 3.29, 1 Ho 3.48
Ho20 0.1389 0.4160 0.0661  2 Er 3.14-3.38, 1 Ca 3.29, 1 Ho 3.48
Ho21 0.3611 0.9271 0.7770  2 Er 3.14-3.38, 1 Ca 3.29, 1 Ho 3.48
Ho22 0.5661 0.6389 0.4160  2 Er 3.14-3.38, 1 Ca 3.29, 1 Ho 3.48
Ho23 0.9339 0.8499 0.5729  2 Er 3.14-3.38, 1 Ca 3.29, 1 Ho 3.48
Ho24 0.7770 0.3499 0.9160  2 Er 3.14-3.38, 1 Ca 3.29, 1 Ho 3.48
Ho25 0.4339 0.3611 0.5840  2 Er 3.14-3.38, 1 Ca 3.29, 1 Ho 3.48
Ho26 0.0661 0.1501 0.4271  2 Er 3.14-3.38, 1 Ca 3.29, 1 Ho 3.48
Ho27 0.2230 0.6501 0.0840  2 Er 3.14-3.38, 1 Ca 3.29, 1 Ho 3.48
Ho28 0.1501 0.0840 0.7230  2 Er 3.14-3.38, 1 Ca 3.29, 1 Ho 3.48
Ho29 0.6389 0.0729 0.2230  2 Er 3.14-3.38, 1 Ca 3.29, 1 Ho 3.48
Ho30 0.8611 0.5840 0.9339  2 Er 3.14-3.38, 1 Ca 3.29, 1 Ho 3.48
Ho31 0.5729 0.3499 0.9339  2 Er 3.14-3.38, 1 Ca 3.29, 1 Ho 3.48
Ho32 0.5840 0.8611 0.4339  2 Er 3.14-3.38, 1 Ca 3.29, 1 Ho 3.48
Ho33 0.9160 0.8499 0.7770  2 Er 3.14-3.38, 1 Ca 3.29, 1 Ho 3.48
Ho34 0.9160 0.0661 0.6389  2 Er 3.14-3.38, 1 Ca 3.29, 1 Ho 3.48
Ho35 0.8611 0.2770 0.4271  2 Er 3.14-3.38, 1 Ca 3.29, 1 Ho 3.48
Ho36 0.1501 0.0661 0.9271  2 Er 3.14-3.38, 1 Ca 3.29, 1 Ho 3.48
Ho37 0.6389 0.5661 0.9160  2 Er 3.14-3.38, 1 Ca 3.29, 1 Ho 3.48
Ho38 0.4339 0.0729 0.3499  2 Er 3.14-3.38, 1 Ca 3.29, 1 Ho 3.48
Ho39 0.2770 0.4160 0.8499  2 Er 3.14-3.38, 1 Ca 3.29, 1 Ho 3.48
Ho40 0.2230 0.5729 0.6389  2 Er 3.14-3.38, 1 Ca 3.29, 1 Ho 3.48
Ho41 0.9339 0.0840 0.8611  2 Er 3.14-3.38, 1 Ca 3.29, 1 Ho 3.48
Ho42 0.6501 0.2230 0.5840  2 Er 3.14-3.38, 1 Ca 3.29, 1 Ho 3.48
Ho43 0.4271 0.7770 0.8611  2 Er 3.14-3.38, 1 Ca 3.29, 1 Ho 3.48
Ho44 0.0729 0.4339 0.8499  2 Er 3.14-3.38, 1 Ca 3.29, 1 Ho 3.48
Ho45 0.4160 0.2770 0.3499  2 Er 3.14-3.38, 1 Ca 3.29, 1 Ho 3.48
Ho46 0.0729 0.6389 0.7230  2 Er 3.14-3.38, 1 Ca 3.29, 1 Ho 3.48
Ho47 0.6501 0.4271 0.5661  2 Er 3.14-3.38, 1 Ca 3.29, 1 Ho 3.48
Ho48 0.2770 0.8611 0.9271  2 Er 3.14-3.38, 1 Ca 3.29, 1 Ho 3.48

Computed properties:
DFT total energy	-246.33	eV per cell
formation energy	1108	meV/atom

***

CaHoEr2: optimized geometry, PBE.

Cell: 3.5841 3.5841 10.3118 Å, 90.00 90.00 90.00°
With the nearest neighbours (Å) after each atom.
Positions (direct):
Ca1 0.5000 0.5000 0.5000  4 Ca 3.58, 8 Er 3.77
Ho1 0.5000 0.5000 0.0000  8 Er 3.46, 4 Ho 3.58
Er1 0.0000 0.0000 0.7710  4 Ho 3.46, 4 Er 3.58, 4 Ca 3.77
Er2 0.0000 0.0000 0.2290  4 Ho 3.46, 4 Er 3.58, 4 Ca 3.77

Computed properties:
DFT total energy	-15.38	eV per cell
formation energy	80	meV/atom
energy above the most stable polymorph in this dataset	0.042	eV per formula unit

***

CaHo5Er4: optimized geometry, PBE.

Cell: 3.5383 3.5383 25.2770 Å, 90.00 90.00 90.00°
With the nearest neighbours (Å) after each atom.
Positions (direct):
Ca1 0.0000 0.0000 0.0000  4 Ca 3.54, 8 Ho 3.77
Ho1 0.5000 0.5000 0.1114  4 Er 3.46, 4 Ho 3.54, 4 Ca 3.77
Ho2 0.5000 0.5000 0.3048  8 Er 3.51-3.54, 4 Ho 3.54
Ho3 0.5000 0.5000 0.5000  8 Er 3.52, 4 Ho 3.54
Ho4 0.5000 0.5000 0.6952  8 Er 3.51-3.54, 4 Ho 3.54
Ho5 0.5000 0.5000 0.8886  4 Er 3.46, 4 Ho 3.54, 4 Ca 3.77
Er1 0.0000 0.0000 0.2057  8 Ho 3.46-3.54, 4 Er 3.54
Er2 0.0000 0.0000 0.4021  8 Ho 3.51-3.52, 4 Er 3.54
Er3 0.0000 0.0000 0.5979  8 Ho 3.51-3.52, 4 Er 3.54
Er4 0.0000 0.0000 0.7943  8 Ho 3.46-3.54, 4 Er 3.54

Computed properties:
DFT total energy	-42.71	eV per cell
formation energy	44	meV/atom

***

CaHo6Er8: optimized geometry, PBE.

Cell: 6.1567 6.1567 14.6819 Å, 77.90 77.90 60.00°
With the nearest neighbours (Å) after each atom.
Positions (direct):
Ca1 0.0000 0.0000 0.0000  6 Er 3.55, 6 Ho 3.59
Ho1 0.9318 0.5917 0.2047  5 Er 3.45-3.55, 6 Ho 3.52-3.63, 1 Ca 3.59
Ho2 0.7282 0.0682 0.7953  5 Er 3.45-3.55, 6 Ho 3.52-3.63, 1 Ca 3.59
Ho3 0.4083 0.7282 0.7953  5 Er 3.45-3.55, 6 Ho 3.52-3.63, 1 Ca 3.59
Ho4 0.5917 0.2718 0.2047  5 Er 3.45-3.55, 6 Ho 3.52-3.63, 1 Ca 3.59
Ho5 0.2718 0.9318 0.2047  5 Er 3.45-3.55, 6 Ho 3.52-3.63, 1 Ca 3.59
Ho6 0.0682 0.4083 0.7953  5 Er 3.45-3.55, 6 Ho 3.52-3.63, 1 Ca 3.59
Er1 0.8012 0.4667 0.5984  3 Ho 3.45-3.49, 9 Er 3.47-3.56
Er2 0.8663 0.1988 0.4016  3 Ho 3.45-3.49, 9 Er 3.47-3.56
Er3 0.5333 0.8663 0.4016  3 Ho 3.45-3.49, 9 Er 3.47-3.56
Er4 0.3333 0.3333 0.0000  6 Ho 3.55, 3 Ca 3.55, 3 Er 3.55
Er5 0.6667 0.6667 0.0000  6 Ho 3.55, 3 Ca 3.55, 3 Er 3.55
Er6 0.4667 0.1337 0.5984  3 Ho 3.45-3.49, 9 Er 3.47-3.56
Er7 0.1337 0.8012 0.5984  3 Ho 3.45-3.49, 9 Er 3.47-3.56
Er8 0.1988 0.5333 0.4016  3 Ho 3.45-3.49, 9 Er 3.47-3.56

Computed properties:
DFT total energy	-65.45	eV per cell
formation energy	35	meV/atom

***

CaHo5Er8: optimized geometry, PBE.

Cell: 8.3798 8.3798 8.3798 Å, 110.74 110.74 106.97°
With the nearest neighbours (Å) after each atom.
Positions (direct):
Ca1 0.2500 0.7500 0.5000  8 Er 3.17-3.37
Ho1 0.8739 0.2832 0.8190  8 Er 3.29-3.51, 2 Ho 3.55
Ho2 0.7168 0.5358 0.5908  8 Er 3.29-3.51, 2 Ho 3.55
Ho3 0.4642 0.0550 0.1810  8 Er 3.29-3.51, 2 Ho 3.55
Ho4 0.5000 0.5000 0.0000  4 Er 3.23
Ho5 0.9450 0.1261 0.4092  8 Er 3.29-3.51, 2 Ho 3.55
Er1 0.0110 0.7748 0.0984  1 Ca 3.37, 4 Ho 3.44-3.51, 3 Er 3.45-3.60
Er2 0.2252 0.3235 0.2362  1 Ca 3.37, 4 Ho 3.44-3.51, 3 Er 3.45-3.60
Er3 0.6012 0.8272 0.4224  1 Ca 3.17, 5 Ho 3.23-3.43, 1 Er 3.52
Er4 0.1728 0.5952 0.7740  1 Ca 3.17, 5 Ho 3.23-3.43, 1 Er 3.52
Er5 0.8212 0.3988 0.2260  1 Ca 3.17, 5 Ho 3.23-3.43, 1 Er 3.52
Er6 0.0874 0.9890 0.7638  1 Ca 3.37, 4 Ho 3.44-3.51, 3 Er 3.45-3.60
Er7 0.6765 0.9126 0.9016  1 Ca 3.37, 4 Ho 3.44-3.51, 3 Er 3.45-3.60
Er8 0.4048 0.1788 0.5776  1 Ca 3.17, 5 Ho 3.23-3.43, 1 Er 3.52

Computed properties:
DFT total energy	-57.26	eV per cell
formation energy	296	meV/atom

***

CaHo5Er12: optimized geometry, PBE.

Cell: 14.9764 10.5874 4.9797 Å, 90.00 90.00 45.06°
With the nearest neighbours (Å) after each atom.
Positions (direct):
Ca1 0.0000 0.0000 0.0000  8 Er 3.58-3.60, 4 Ho 3.59
Ho1 0.5000 0.0000 0.5000  8 Er 3.52-3.54, 4 Ho 3.53
Ho2 0.1728 0.6545 0.5000  2 Ho 3.46, 8 Er 3.47-3.67, 2 Ca 3.59
Ho3 0.8273 0.3455 0.5000  2 Ho 3.46, 8 Er 3.47-3.67, 2 Ca 3.59
Ho4 0.6666 0.6668 0.0000  4 Ho 3.46-3.53, 8 Er 3.53-3.54
Ho5 0.3334 0.3332 0.0000  4 Ho 3.46-3.53, 8 Er 3.53-3.54
Er1 0.8268 0.0000 0.4997  8 Er 3.46-3.55, 2 Ca 3.59-3.60, 2 Ho 3.66-3.67
Er2 0.1732 0.0000 0.5003  8 Er 3.46-3.55, 2 Ca 3.59-3.60, 2 Ho 3.66-3.67
Er3 0.6664 0.0001 0.9997  8 Er 3.46-3.53, 4 Ho 3.52-3.53
Er4 0.3337 0.9999 0.0003  8 Er 3.46-3.53, 4 Ho 3.52-3.53
Er5 0.3380 0.6624 0.0001  8 Er 3.43-3.55, 3 Ho 3.53-3.55, 1 Ca 3.58
Er6 0.9996 0.6623 0.9999  8 Er 3.43-3.55, 3 Ho 3.54-3.55, 1 Ca 3.58
Er7 0.0004 0.3377 0.0001  8 Er 3.43-3.55, 3 Ho 3.54-3.55, 1 Ca 3.58
Er8 0.6620 0.3377 0.9999  8 Er 3.43-3.55, 3 Ho 3.53-3.55, 1 Ca 3.58
Er9 0.5000 0.3343 0.4999  8 Er 3.47-3.53, 4 Ho 3.47-3.54
Er10 0.8344 0.6656 0.4999  8 Er 3.46-3.53, 4 Ho 3.47-3.54
Er11 0.1656 0.3344 0.5001  8 Er 3.46-3.53, 4 Ho 3.47-3.54
Er12 0.5000 0.6657 0.5001  8 Er 3.47-3.53, 4 Ho 3.47-3.54

Computed properties:
DFT total energy	-78.85	eV per cell
formation energy	44	meV/atom

***

CaHoEr2: optimized geometry, PBE.

Cell: 5.7011 5.7011 5.7011 Å, 60.00 60.00 60.00°
With the nearest neighbours (Å) after each atom.
Positions (direct):
Ca1 0.0000 0.0000 0.0000  8 Er 3.49
Ho1 0.5000 0.5000 0.5000  8 Er 3.49
Er1 0.2500 0.2500 0.2500  4 Ca 3.49, 4 Ho 3.49
Er2 0.7500 0.7500 0.7500  4 Ho 3.49, 4 Ca 3.49

Computed properties:
DFT total energy	-14.95	eV per cell
formation energy	188	meV/atom
energy above the most stable polymorph in this dataset	0.474	eV per formula unit